Record 1
# CaPr5O8, optimized geometry, DFT PBE-GGA
data_CaPr5O8
_chemical_formula_sum 'Ca2 Pr10 O16'
_space_group_name_H-M_alt 'I -4'
_space_group_IT_number 82
_space_group_name_Hall 'I -4'
_cell_length_a 7.5362
_cell_length_b 7.5362
_cell_length_c 7.3127
_cell_angle_alpha 90.00
_cell_angle_beta 90.00
_cell_angle_gamma 90.00
loop_
_atom_site_label
_atom_site_fract_x
_atom_site_fract_y
_atom_site_fract_z
_atom_site_occupancy
Ca1 0.0000 0.0000 0.0000 1
Pr1 0.0000 0.5000 0.2500 1
Pr2 0.1463 0.2438 0.6336 1
O1 0.0605 0.3121 0.9489 1
O2 0.0750 0.1767 0.3161 1
# * size of the total moment: 0.8 μB per formula unit
# * final energy: -7.7151 eV per atom
# * calculated volume: 14.83 Å³ per atom
# * raw formation energy: -3.03 eV/atom

=====

Record 2
# CaPrO4, optimized geometry, DFT PBE-GGA
data_CaPrO4
_chemical_formula_sum 'Ca2 Pr2 O8'
_space_group_name_H-M_alt 'C 1 m 1'
_space_group_IT_number 8
_space_group_name_Hall 'C -2y'
_cell_length_a 6.9786
_cell_length_b 3.9403
_cell_length_c 6.6954
_cell_angle_alpha 90.00
_cell_angle_beta 95.76
_cell_angle_gamma 90.00
loop_
_atom_site_label
_atom_site_fract_x
_atom_site_fract_y
_atom_site_fract_z
_atom_site_occupancy
Ca1 0.0000 0.0000 0.0000 1
Pr1 0.1313 0.5000 0.5815 1
O1 0.1634 0.5000 0.9263 1
O2 0.2304 0.0000 0.3322 1
O3 0.3977 0.0000 0.2415 1
O4 0.4649 0.5000 0.6354 1
# * size of the total moment: 1.0 μB per formula unit
# * final energy: -6.7433 eV per atom
# * calculated volume: 15.27 Å³ per atom
# * raw formation energy: -2.31 eV/atom